{
  "formula": "Be2AlFe5Mo2",
  "functional": "PBE-GGA",
  "state": "relaxed",
  "dos_ef_per_ev_atom": 0.997,
  "sg": "P4/mbm, No. 127",
  "formation_enthalpy_0k_ev_per_atom": -0.070,
  "crystal_system": "tetragonal",
  "lattice": [[-0.373, 2.406, -1.608], [-6.368, 2.573, 5.328], [5.812, 4.190, 4.922]],
  "species": ["Fe", "Al", "Fe", "Fe", "Fe", "Mo", "Fe", "Fe", "Al", "Be", "Be", "Fe", "Mo", "Be", "Mo", "Fe", "Be", "Fe", "Mo", "Fe"],
  "frac_coords": [[0.500, 0.434, 0.288], [0.000, 0.000, 0.000], [0.500, 0.212, 0.066], [0.500, 0.934, 0.212], [0.500, 0.566, 0.712], [0.000, 0.675, 0.175], [0.500, 0.288, 0.566], [0.500, 0.788, 0.934], [0.000, 0.500, 0.500], [0.000, 0.878, 0.378], [0.000, 0.122, 0.622], [0.500, 0.066, 0.788], [0.000, 0.325, 0.825], [0.000, 0.378, 0.122], [0.000, 0.175, 0.325], [0.500, 0.712, 0.434], [0.000, 0.622, 0.878], [0.500, 0.000, 0.500], [0.000, 0.825, 0.675], [0.500, 0.500, 0.000]]
}

{
  "formula": "BeAlFeMo",
  "functional": "PBE-GGA",
  "state": "relaxed",
  "dos_ef_per_ev_atom": 0.911,
  "sg": "F-43m, No. 216",
  "formation_enthalpy_0k_ev_per_atom": -0.126,
  "crystal_system": "cubic",
  "lattice": [[-0.525, 2.610, -3.109], [-3.617, 0.214, -1.905], [-2.373, 3.301, 0.478]],
  "species": ["Fe", "Al", "Mo", "Be"],
  "frac_coords": [[0.500, 0.500, 0.500], [0.750, 0.750, 0.750], [0.250, 0.250, 0.250], [0.000, 0.000, 0.000]]
}

{
  "formula": "Be2Nb2AlFe5",
  "functional": "PBE-GGA",
  "state": "relaxed",
  "dos_ef_per_ev_atom": 0.967,
  "sg": "P4/mbm, No. 127",
  "formation_enthalpy_0k_ev_per_atom": -0.184,
  "crystal_system": "tetragonal",
  "lattice": [[-1.264, 0.572, -2.863], [7.667, -1.366, -3.658], [-1.887, -8.353, -0.835]],
  "species": ["Fe", "Nb", "Nb", "Be", "Be", "Fe", "Nb", "Be", "Be", "Al", "Fe", "Fe", "Fe", "Nb", "Al", "Fe", "Fe", "Fe", "Fe", "Fe"],
  "frac_coords": [[0.500, 0.786, 0.934], [0.000, 0.324, 0.824], [0.000, 0.676, 0.176], [0.000, 0.880, 0.380], [0.000, 0.380, 0.120], [0.500, 0.066, 0.786], [0.000, 0.176, 0.324], [0.000, 0.620, 0.880], [0.000, 0.120, 0.620], [0.000, 0.500, 0.500], [0.500, 0.714, 0.434], [0.500, 0.434, 0.286], [0.500, 0.000, 0.500], [0.000, 0.824, 0.676], [0.000, 0.000, 0.000], [0.500, 0.286, 0.566], [0.500, 0.566, 0.714], [0.500, 0.214, 0.066], [0.500, 0.934, 0.214], [0.500, 0.500, 0.000]]
}

{
  "formula": "BeAlFeNi2",
  "functional": "PBE-GGA",
  "state": "relaxed",
  "dos_ef_per_ev_atom": 0.663,
  "sg": "P4/mmm, No. 123",
  "formation_enthalpy_0k_ev_per_atom": 0.776,
  "crystal_system": "tetragonal",
  "lattice": [[4.273, 0.000, 0.000], [0.000, 3.919, 0.000], [0.000, 0.000, 4.273]],
  "species": ["Ni", "Fe", "Al", "Be", "Ni"],
  "frac_coords": [[0.000, 0.000, 0.500], [0.000, 0.000, 0.000], [0.500, 0.500, 0.500], [0.000, 0.500, 0.000], [0.500, 0.000, 0.000]]
}